Density functional theory data (GGA-PBE) for a relaxed structure of GdDy2In3Ni2Ag. Values from VASP.

Structure (Quantum ESPRESSO input):
```
&SYSTEM
  ibrav = 0, nat = 9, ntyp = 5
/
ATOMIC_SPECIES
Dy 162.50 Dy.upf
Gd 157.25 Gd.upf
In 114.82 In.upf
Ni 58.69 Ni.upf
Ag 107.87 Ag.upf
CELL_PARAMETERS angstrom
-1.680 -2.893 -2.011
4.047 -5.053 3.888
-6.773 2.171 2.535
ATOMIC_POSITIONS crystal
Dy 0.000 0.000 0.587
Gd 0.000 0.413 0.413
In 0.500 0.999 0.270
Ni 0.500 0.333 0.667
In 0.500 0.730 0.730
Ni 0.500 0.667 0.333
In 0.500 0.270 0.999
Ag 0.000 0.999 0.999
Dy 0.000 0.587 0.000
```

Values from the calculation:
As for the crystal system: orthorhombic. Its space group is No. 38.

***

Density functional theory data (GGA-PBE) for a relaxed structure of BeCdAsO. Values from VASP.

Structure (Quantum ESPRESSO input):
```
&SYSTEM
  ibrav = 0, nat = 8, ntyp = 4
/
ATOMIC_SPECIES
Be 9.01 Be.upf
Cd 112.41 Cd.upf
O 16.00 O.upf
As 74.92 As.upf
CELL_PARAMETERS angstrom
0.818 3.647 1.196
-2.604 -0.371 2.913
5.983 -2.972 4.970
ATOMIC_POSITIONS crystal
Be 0.750 0.250 0.500
Be 0.250 0.750 0.500
Cd 0.250 0.250 0.119
O 0.750 0.250 0.000
As 0.250 0.250 0.651
Cd 0.750 0.750 0.881
As 0.750 0.750 0.349
O 0.250 0.750 0.000
```

Values from the calculation:
As for the crystal system: tetragonal. Its space group is No. 129.

***

Density functional theory data (GGA-PBE) for a relaxed structure of SrCoCuW. Values from VASP.

Structure (Quantum ESPRESSO input):
```
&SYSTEM
  ibrav = 0, nat = 4, ntyp = 4
/
ATOMIC_SPECIES
Co 58.93 Co.upf
W 183.84 W.upf
Sr 87.62 Sr.upf
Cu 63.55 Cu.upf
CELL_PARAMETERS angstrom
0.000 3.280 3.280
3.280 0.000 3.280
3.280 3.280 0.000
ATOMIC_POSITIONS crystal
Co 0.250 0.250 0.250
W 0.000 0.000 0.000
Sr 0.500 0.500 0.500
Cu 0.750 0.750 0.750
```

Values from the calculation:
As for the crystal system: cubic. Its space group is No. 216.

***

Density functional theory data (GGA-PBE) for a relaxed structure of Os2C. Values from VASP.

Structure (Quantum ESPRESSO input):
```
&SYSTEM
  ibrav = 0, nat = 6, ntyp = 2
/
ATOMIC_SPECIES
C 12.01 C.upf
Os 190.23 Os.upf
CELL_PARAMETERS angstrom
2.800 0.000 0.000
-1.400 2.425 0.000
0.000 0.000 10.185
ATOMIC_POSITIONS crystal
C 0.667 0.333 0.250
Os 0.333 0.667 0.111
Os 0.667 0.333 0.889
C 0.333 0.667 0.750
Os 0.333 0.667 0.389
Os 0.667 0.333 0.611
```

Values from the calculation:
As for the crystal system: hexagonal. Its space group is No. 194.

***

Density functional theory data (GGA-PBE) for a relaxed structure of Y2Tc2O5. Values from VASP.

Structure (Quantum ESPRESSO input):
```
&SYSTEM
  ibrav = 0, nat = 9, ntyp = 3
/
ATOMIC_SPECIES
Y 88.91 Y.upf
O 16.00 O.upf
Tc 98.00 Tc.upf
CELL_PARAMETERS angstrom
-2.325 -3.881 8.276
2.569 -2.441 -0.423
2.316 2.150 1.659
ATOMIC_POSITIONS crystal
Y 0.741 0.500 0.500
O 0.876 0.500 0.000
O 0.500 0.500 0.500
Y 0.259 0.500 0.500
O 0.124 0.000 0.500
Tc 0.000 0.000 0.000
O 0.124 0.500 0.000
O 0.876 0.000 0.500
Tc 0.500 0.000 0.000
```

Values from the calculation:
As for the crystal system: tetragonal. Its space group is No. 123.

***

Density functional theory data (GGA-PBE) for a relaxed structure of LaTlCdTe3. Values from VASP.

Structure (Quantum ESPRESSO input):
```
&SYSTEM
  ibrav = 0, nat = 12, ntyp = 4
/
ATOMIC_SPECIES
Te 127.60 Te.upf
Cd 112.41 Cd.upf
Tl 204.38 Tl.upf
La 138.91 La.upf
CELL_PARAMETERS angstrom
-3.041 -2.793 -9.158
1.335 -4.280 -8.989
-2.739 -7.373 6.003
ATOMIC_POSITIONS crystal
Te 0.000 0.000 0.500
Cd 0.483 0.483 0.284
Te 0.671 0.671 0.823
Te 0.658 0.658 0.368
Tl 0.866 0.866 0.923
Te 0.500 0.500 0.000
La 0.176 0.176 0.602
Cd 0.517 0.517 0.716
Tl 0.134 0.134 0.077
La 0.824 0.824 0.398
Te 0.329 0.329 0.177
Te 0.342 0.342 0.632
```

Values from the calculation:
As for the crystal system: monoclinic. Its space group is No. 12.

***

Number 1: VASP energy -4.47 eV/atom. Number 2: VASP energy -3.74 eV/atom. Number 3: VASP energy -5.39 eV/atom. Number 4: VASP energy -10.04 eV/atom. Number 5: VASP energy -8.08 eV/atom. Number 6: VASP energy -3.74 eV/atom.